This record from Alexandria describes a geometry-optimized La6Tb5Tm2 structure. The functional is PBE-GGA.

Summary:
Energy relative to the elements   109 meV per atom

a b c (Å): 11.749 20.988 3.641
angles (deg): 90.00 90.00 90.00
Sites, in units of the cell vectors:
La1 0.062 0.081 0.000
La2 0.083 0.368 0.000
La3 0.172 0.638 0.500
La4 0.328 0.138 0.500
La5 0.417 0.868 0.000
La6 0.438 0.581 0.000
La7 0.562 0.419 0.000
La8 0.583 0.132 0.000
La9 0.672 0.862 0.500
La10 0.828 0.362 0.500
La11 0.917 0.632 0.000
La12 0.938 0.919 0.000
Tb1 0.000 0.500 0.500
Tb2 0.093 0.228 0.500
Tb3 0.198 0.942 0.500
Tb4 0.302 0.442 0.500
Tb5 0.407 0.728 0.500
Tb6 0.500 0.000 0.500
Tb7 0.593 0.272 0.500
Tb8 0.698 0.558 0.500
Tb9 0.802 0.058 0.500
Tb10 0.907 0.772 0.500
Tm1 0.164 0.791 0.000
Tm2 0.336 0.291 0.000
Tm3 0.664 0.709 0.000
Tm4 0.836 0.209 0.000

***

This record from Alexandria describes a geometry-optimized La4TbTm structure. The functional is PBE-GGA.

Summary:
Energy above the most stable polymorph in this dataset   320 meV/atom
Energy relative to the elements   340 meV per atom

a b c (Å): 7.596 7.596 7.596
angles (deg): 46.59 46.59 46.59
Sites, in units of the cell vectors:
La1 0.165 0.165 0.165
La2 0.332 0.332 0.332
La3 0.668 0.668 0.668
La4 0.835 0.835 0.835
Tb1 0.500 0.500 0.500
Tm1 0.000 0.000 0.000

***

This record from Alexandria describes a geometry-optimized La3Tb4Tm structure. The functional is PBE-GGA.

Summary:
Energy above the most stable polymorph in this dataset   125 meV/atom
Energy relative to the elements   129 meV per atom

a b c (Å): 9.009 9.009 9.009
angles (deg): 157.47 97.76 86.63
Sites, in units of the cell vectors:
La1 0.000 0.000 0.000
La2 0.257 0.757 0.500
La3 0.743 0.243 0.500
Tb1 0.121 0.366 0.755
Tb2 0.389 0.634 0.755
Tb3 0.611 0.366 0.245
Tb4 0.879 0.634 0.245
Tm1 0.500 0.500 0.000

***

This record from Alexandria describes a geometry-optimized La6Tb5Tm structure. The functional is PBE-GGA.

Summary:
Energy above the most stable polymorph in this dataset   0 meV/atom
Energy relative to the elements   19 meV per atom

a b c (Å): 9.658 9.658 5.227
angles (deg): 105.67 105.67 108.32
Sites, in units of the cell vectors:
La1 0.083 0.416 0.749
La2 0.249 0.249 0.249
La3 0.416 0.083 0.749
La4 0.584 0.917 0.251
La5 0.751 0.751 0.751
La6 0.917 0.584 0.251
Tb1 0.167 0.833 0.000
Tb2 0.334 0.666 0.500
Tb3 0.500 0.500 0.000
Tb4 0.666 0.334 0.500
Tb5 0.833 0.167 0.000
Tm1 0.000 0.000 0.500